1.
## YNi2Cl (PBE)

Data for YNi2Cl after structural relaxation.

Lattice parameters (Å, degrees): 4.7084 4.7084 4.7084 130.38 113.39 87.43
Closest atoms and distances in Å follow each position.
Fractional positions:
1 Cl 0.1936 0.6936 0.5000  3 Ni 2.42-2.64
2 Ni 0.8052 0.3052 0.5000  2 Ni 2.34
3 Y 0.5126 0.5126 0.0000  4 Ni 2.81-2.95, 4 Cl 2.86-2.94
4 Ni 0.9886 0.9886 0.0000  2 Ni 2.34, 2 Cl 2.42

energy relative to the elements, uncorrected = -0.23 eV/atom
offset from the most stable computed form = 350.7 meV per atom
crystal system = orthorhombic


2.
## YNiCl2 (PBE)

Data for YNiCl2 after structural relaxation.

Lattice parameters (Å, degrees): 7.4379 7.4379 7.4379 27.29 27.29 27.29
Closest atoms and distances in Å follow each position.
Fractional positions:
1 Ni 0.2500 0.2500 0.2500  6 Cl 2.51
2 Cl 0.5143 0.5143 0.5143  3 Ni 2.51
3 Y 0.7500 0.7500 0.7500  6 Cl 2.91
4 Cl 0.9857 0.9857 0.9857  3 Ni 2.51

energy relative to the elements, uncorrected = -0.55 eV/atom
offset from the most stable computed form = 469.7 meV per atom
crystal system = trigonal


3.
## YNiCl2 (PBE)

Data for YNiCl2 after structural relaxation.

Lattice parameters (Å, degrees): 5.4153 5.4153 5.6452 93.56 93.56 38.71
Closest atoms and distances in Å follow each position.
Fractional positions:
1 Y 0.2430 0.2430 0.1357  2 Ni 2.66, 5 Cl 2.77-2.95
2 Cl 0.9585 0.9585 0.1997  2 Ni 2.63, 2 Y 2.85
3 Cl 0.6776 0.6776 0.7736  1 Ni 2.20
4 Ni 0.6209 0.6209 0.3909  1 Cl 2.20

energy relative to the elements, uncorrected = -0.93 eV/atom
offset from the most stable computed form = 95.8 meV per atom
crystal system = monoclinic


4.
## YNiCl2 (PBE)

Data for YNiCl2 after structural relaxation.

Lattice parameters (Å, degrees): 3.8210 3.9069 6.5925 77.29 90.00 90.00
Closest atoms and distances in Å follow each position.
Fractional positions:
1 Cl 0.5000 0.3796 0.3587  2 Ni 2.33
2 Y 0.5000 0.7695 0.6648  4 Cl 2.76-2.85, 4 Ni 2.79-2.81
3 Ni 0.0000 0.3096 0.5670  3 Cl 2.27-2.33
4 Cl 0.0000 0.0413 0.9094  1 Ni 2.27

energy relative to the elements, uncorrected = -0.97 eV/atom
offset from the most stable computed form = 52.8 meV per atom
crystal system = monoclinic


5.
## YNi2Cl (PBE)

Data for YNi2Cl after structural relaxation.

Lattice parameters (Å, degrees): 3.8954 3.8954 6.4222 90.11 90.11 60.01
Closest atoms and distances in Å follow each position.
Fractional positions:
1 Cl 0.1241 0.1241 0.2820  1 Ni 2.83, 3 Y 2.85-2.86
2 Ni 0.1255 0.1255 0.8421  3 Ni 2.25
3 Y 0.4582 0.4582 0.5558  6 Ni 2.82-2.91, 3 Cl 2.85-2.86
4 Ni 0.7921 0.7921 0.8201  3 Ni 2.25

energy relative to the elements, uncorrected = -0.58 eV/atom
offset from the most stable computed form = 0.0 meV per atom
crystal system = monoclinic


6.
## YNiCl2 (PBE)

Data for YNiCl2 after structural relaxation.

Lattice parameters (Å, degrees): 4.2240 4.2492 4.7428 90.15 90.00 90.00
Closest atoms and distances in Å follow each position.
Fractional positions:
1 Ni 0.5000 0.2500 0.2500  4 Cl 2.58
2 Y 0.5000 0.7500 0.7500  4 Cl 2.71
3 Cl 0.0000 0.4824 0.4835  2 Ni 2.58, 2 Y 2.71
4 Cl 0.0000 0.0176 0.0165  2 Ni 2.58, 2 Y 2.71

energy relative to the elements, uncorrected = -0.65 eV/atom
offset from the most stable computed form = 370.1 meV per atom
crystal system = monoclinic


7.
## YNi2Cl (PBE)

Data for YNi2Cl after structural relaxation.

Lattice parameters (Å, degrees): 3.3112 3.3112 7.6106 90.00 90.00 90.00
Closest atoms and distances in Å follow each position.
Fractional positions:
1 Ni 0.5000 0.5000 0.2202  4 Ni 2.43
2 Y 0.0000 0.0000 0.4636  1 Ni 2.49
3 Ni 0.0000 0.0000 0.1366  4 Ni 2.43, 1 Y 2.49
4 Cl 0.5000 0.5000 0.6796  4 Y 2.86

energy relative to the elements, uncorrected = -0.41 eV/atom
offset from the most stable computed form = 167.7 meV per atom
crystal system = tetragonal


8.
## YNi2Cl (PBE)

Data for YNi2Cl after structural relaxation.

Lattice parameters (Å, degrees): 3.6540 3.6508 5.4505 90.00 90.00 90.00
Closest atoms and distances in Å follow each position.
Fractional positions:
1 Ni 0.0000 0.0000 0.4689  1 Ni 2.39
2 Cl 0.5000 0.5000 0.7500  2 Y 2.73, 8 Ni 3.00
3 Y 0.5000 0.5000 0.2500  2 Cl 2.73, 8 Ni 2.84
4 Ni 0.0000 0.0000 0.0311  1 Ni 2.39

energy relative to the elements, uncorrected = -0.24 eV/atom
offset from the most stable computed form = 337.0 meV per atom
crystal system = tetragonal


9.
## YNiCl2 (PBE)

Data for YNiCl2 after structural relaxation.

Lattice parameters (Å, degrees): 3.4403 3.4403 7.6758 90.00 90.00 90.00
Closest atoms and distances in Å follow each position.
Fractional positions:
1 Cl 0.0000 0.0000 0.9269  4 Y 2.96, 1 Ni 3.27
2 Y 0.5000 0.5000 0.7081  5 Cl 2.64-2.96, 4 Ni 2.91
3 Ni 0.0000 0.0000 0.5011  4 Cl 2.65, 4 Y 2.91
4 Cl 0.5000 0.5000 0.3638  1 Y 2.64, 4 Ni 2.65

energy relative to the elements, uncorrected = -0.89 eV/atom
offset from the most stable computed form = 132.5 meV per atom
crystal system = tetragonal


10.
## YNiCl2 (PBE)

Data for YNiCl2 after structural relaxation.

Lattice parameters (Å, degrees): 5.0014 5.0014 5.0014 128.00 128.00 76.63
Closest atoms and distances in Å follow each position.
Fractional positions:
1 Cl 0.0000 0.0000 0.0000  4 Y 2.94, 4 Ni 2.94, 4 Cl 3.10
2 Y 0.7500 0.2500 0.5000  8 Cl 2.94, 4 Ni 3.10
3 Ni 0.2500 0.7500 0.5000  8 Cl 2.94, 4 Y 3.10
4 Cl 0.5000 0.5000 0.0000  4 Ni 2.94, 4 Y 2.94, 4 Cl 3.10

energy relative to the elements, uncorrected = -0.68 eV/atom
offset from the most stable computed form = 346.6 meV per atom
crystal system = tetragonal


11.
## YNi2Cl (PBE)

Data for YNi2Cl after structural relaxation.

Lattice parameters (Å, degrees): 3.3111 3.3155 7.6040 76.53 90.00 90.00
Closest atoms and distances in Å follow each position.
Fractional positions:
1 Y 0.0000 0.5752 0.4661  1 Ni 2.49
2 Ni 0.5000 0.2108 0.2162  4 Ni 2.43
3 Cl 0.5000 0.9570 0.6879  4 Y 2.86
4 Ni 0.0000 0.7570 0.1299  4 Ni 2.43, 1 Y 2.49

energy relative to the elements, uncorrected = -0.41 eV/atom
offset from the most stable computed form = 166.9 meV per atom
crystal system = monoclinic


12.
## YNi2Cl (PBE)

Data for YNi2Cl after structural relaxation.

Lattice parameters (Å, degrees): 4.1399 5.7521 3.2706 73.70 89.42 110.91
Closest atoms and distances in Å follow each position.
Fractional positions:
1 Cl 0.5000 0.5000 0.0000  4 Y 2.62-2.65, 4 Ni 2.88
2 Y 0.0000 0.5000 0.5000  4 Cl 2.62-2.65, 4 Ni 2.88
3 Ni 0.5000 0.0000 0.5000  4 Ni 2.62-2.65, 2 Cl 2.88, 2 Y 2.88
4 Ni 0.0000 0.0000 0.0000  4 Ni 2.62-2.65, 2 Y 2.88, 2 Cl 2.88

energy relative to the elements, uncorrected = -0.15 eV/atom
offset from the most stable computed form = 429.6 meV per atom
crystal system = monoclinic


Respective density of states at the Fermi level values: 1.01, 5.67, 2.85, 2.16, 4.79, 3.10, 2.61, 5.25, 3.71, 1.50, 2.70, 5.46 states/eV/f.u..